# CeBIrRh (GGA-PBE, optimized geometry)
data_CeBIrRh
_cell_length_a 5.3321
_cell_length_b 5.3321
_cell_length_c 5.3321
_cell_angle_alpha 139.16
_cell_angle_beta 137.43
_cell_angle_gamma 60.47
_symmetry_space_group_name_H-M 'P 1'
_symmetry_Int_Tables_number 1
_symmetry_space_group_name_Hall 'P 1'
loop_
_atom_site_label
_atom_site_type_symbol
_atom_site_fract_x
_atom_site_fract_y
_atom_site_fract_z
Ce1 Ce 0.0000 0.0000 0.0000
B1 B 0.7483 0.2483 0.5000
Ir1 Ir 0.6429 0.6429 0.0000
Rh1 Rh 0.3494 0.3494 0.0000
# Crystal system: orthorhombic
# Space group: Imm2 (44)
# ρ, g cm⁻³: 11.16
# Total magnetization, μB per atom: 0.00
# Fermi-level density of states, states/eV/cell: 3.13

***

# Ce2B2IrRh5 (GGA-PBE, optimized geometry)
data_Ce2B2IrRh5
_cell_length_a 9.4468
_cell_length_b 9.4468
_cell_length_c 3.3512
_cell_angle_alpha 90.00
_cell_angle_beta 90.00
_cell_angle_gamma 90.00
_symmetry_space_group_name_H-M 'P 1'
_symmetry_Int_Tables_number 1
_symmetry_space_group_name_Hall 'P 1'
loop_
_atom_site_label
_atom_site_type_symbol
_atom_site_fract_x
_atom_site_fract_y
_atom_site_fract_z
Ce1 Ce 0.1808 0.3192 0.0000
Ce2 Ce 0.3192 0.8192 0.0000
Ce3 Ce 0.6808 0.1808 0.0000
Ce4 Ce 0.8192 0.6808 0.0000
B1 B 0.1184 0.6184 0.0000
B2 B 0.3816 0.1184 0.0000
B3 B 0.6184 0.8816 0.0000
B4 B 0.8816 0.3816 0.0000
Ir1 Ir 0.0000 0.0000 0.0000
Ir2 Ir 0.5000 0.5000 0.0000
Rh1 Rh 0.0000 0.5000 0.5000
Rh2 Rh 0.0712 0.7753 0.5000
Rh3 Rh 0.2247 0.0712 0.5000
Rh4 Rh 0.2753 0.5712 0.5000
Rh5 Rh 0.4288 0.2753 0.5000
Rh6 Rh 0.5000 0.0000 0.5000
Rh7 Rh 0.5712 0.7247 0.5000
Rh8 Rh 0.7247 0.4288 0.5000
Rh9 Rh 0.7753 0.9288 0.5000
Rh10 Rh 0.9288 0.2247 0.5000
# Crystal system: tetragonal
# Space group: P4/mbm (127)
# ρ, g cm⁻³: 11.20
# Total magnetization, μB per atom: 0.00
# Fermi-level density of states, states/eV/cell: 22.81

***

# CeBIr2Rh (GGA-PBE, optimized geometry)
data_CeBIr2Rh
_cell_length_a 4.2309
_cell_length_b 4.2309
_cell_length_c 4.3192
_cell_angle_alpha 90.00
_cell_angle_beta 90.00
_cell_angle_gamma 90.00
_symmetry_space_group_name_H-M 'P 1'
_symmetry_Int_Tables_number 1
_symmetry_space_group_name_Hall 'P 1'
loop_
_atom_site_label
_atom_site_type_symbol
_atom_site_fract_x
_atom_site_fract_y
_atom_site_fract_z
Ce1 Ce 0.0000 0.0000 0.0000
B1 B 0.5000 0.5000 0.5000
Ir1 Ir 0.0000 0.5000 0.5000
Ir2 Ir 0.5000 0.0000 0.5000
Rh1 Rh 0.5000 0.5000 0.0000
# Crystal system: tetragonal
# Space group: P4/mmm (123)
# ρ, g cm⁻³: 13.71
# Total magnetization, μB per atom: 0.05
# Fermi-level density of states, states/eV/cell: 3.73

***

# Ce2B2IrRu5 (GGA-PBE, optimized geometry)
data_Ce2B2IrRu5
_cell_length_a 9.7646
_cell_length_b 9.7646
_cell_length_c 3.0636
_cell_angle_alpha 90.00
_cell_angle_beta 90.00
_cell_angle_gamma 90.00
_symmetry_space_group_name_H-M 'P 1'
_symmetry_Int_Tables_number 1
_symmetry_space_group_name_Hall 'P 1'
loop_
_atom_site_label
_atom_site_type_symbol
_atom_site_fract_x
_atom_site_fract_y
_atom_site_fract_z
Ce1 Ce 0.1789 0.3211 0.0000
Ce2 Ce 0.3211 0.8211 0.0000
Ce3 Ce 0.6789 0.1789 0.0000
Ce4 Ce 0.8211 0.6789 0.0000
B1 B 0.1192 0.6192 0.0000
B2 B 0.3808 0.1192 0.0000
B3 B 0.6192 0.8808 0.0000
B4 B 0.8808 0.3808 0.0000
Ir1 Ir 0.0000 0.0000 0.0000
Ir2 Ir 0.5000 0.5000 0.0000
Ru1 Ru 0.0000 0.5000 0.5000
Ru2 Ru 0.0706 0.7760 0.5000
Ru3 Ru 0.2240 0.0706 0.5000
Ru4 Ru 0.2760 0.5706 0.5000
Ru5 Ru 0.4294 0.2760 0.5000
Ru6 Ru 0.5000 0.0000 0.5000
Ru7 Ru 0.5706 0.7240 0.5000
Ru8 Ru 0.7240 0.4294 0.5000
Ru9 Ru 0.7760 0.9294 0.5000
Ru10 Ru 0.9294 0.2240 0.5000
# Crystal system: tetragonal
# Space group: P4/mbm (127)
# ρ, g cm⁻³: 11.36
# Total magnetization, μB per atom: 0.00
# Fermi-level density of states, states/eV/cell: 12.96

***

# CeBIrRu2 (GGA-PBE, optimized geometry)
data_CeBIrRu2
_cell_length_a 4.2521
_cell_length_b 4.2521
_cell_length_c 4.1805
_cell_angle_alpha 90.00
_cell_angle_beta 90.00
_cell_angle_gamma 90.00
_symmetry_space_group_name_H-M 'P 1'
_symmetry_Int_Tables_number 1
_symmetry_space_group_name_Hall 'P 1'
loop_
_atom_site_label
_atom_site_type_symbol
_atom_site_fract_x
_atom_site_fract_y
_atom_site_fract_z
Ce1 Ce 0.0000 0.0000 0.0000
B1 B 0.5000 0.5000 0.5000
Ir1 Ir 0.5000 0.5000 0.0000
Ru1 Ru 0.0000 0.5000 0.5000
Ru2 Ru 0.5000 0.0000 0.5000
# Crystal system: tetragonal
# Space group: P4/mmm (123)
# ρ, g cm⁻³: 11.98
# Total magnetization, μB per atom: 0.00
# Fermi-level density of states, states/eV/cell: 1.85

***

# Ce2ScB2Ir5 (GGA-PBE, optimized geometry)
data_Ce2ScB2Ir5
_cell_length_a 9.7743
_cell_length_b 9.7743
_cell_length_c 3.3089
_cell_angle_alpha 90.00
_cell_angle_beta 90.00
_cell_angle_gamma 90.00
_symmetry_space_group_name_H-M 'P 1'
_symmetry_Int_Tables_number 1
_symmetry_space_group_name_Hall 'P 1'
loop_
_atom_site_label
_atom_site_type_symbol
_atom_site_fract_x
_atom_site_fract_y
_atom_site_fract_z
Ce1 Ce 0.1777 0.3223 0.0000
Ce2 Ce 0.3223 0.8223 0.0000
Ce3 Ce 0.6777 0.1777 0.0000
Ce4 Ce 0.8223 0.6777 0.0000
Sc1 Sc 0.0000 0.0000 0.0000
Sc2 Sc 0.5000 0.5000 0.0000
B1 B 0.1189 0.6189 0.0000
B2 B 0.3811 0.1189 0.0000
B3 B 0.6189 0.8811 0.0000
B4 B 0.8811 0.3811 0.0000
Ir1 Ir 0.0000 0.5000 0.5000
Ir2 Ir 0.0695 0.7730 0.5000
Ir3 Ir 0.2270 0.0695 0.5000
Ir4 Ir 0.2730 0.5695 0.5000
Ir5 Ir 0.4305 0.2730 0.5000
Ir6 Ir 0.5000 0.0000 0.5000
Ir7 Ir 0.5695 0.7270 0.5000
Ir8 Ir 0.7270 0.4305 0.5000
Ir9 Ir 0.7730 0.9305 0.5000
Ir10 Ir 0.9305 0.2270 0.5000
# Crystal system: tetragonal
# Space group: P4/mbm (127)
# ρ, g cm⁻³: 13.74
# Total magnetization, μB per atom: 0.07
# Fermi-level density of states, states/eV/cell: 12.98

***

# CeSiBIr3 (GGA-PBE, optimized geometry)
data_CeSiBIr3
_cell_length_a 5.5344
_cell_length_b 5.5344
_cell_length_c 3.4866
_cell_angle_alpha 90.00
_cell_angle_beta 90.00
_cell_angle_gamma 120.00
_symmetry_space_group_name_H-M 'P 1'
_symmetry_Int_Tables_number 1
_symmetry_space_group_name_Hall 'P 1'
loop_
_atom_site_label
_atom_site_type_symbol
_atom_site_fract_x
_atom_site_fract_y
_atom_site_fract_z
Ce1 Ce 0.0000 0.0000 0.0000
Si1 Si 0.6667 0.3333 0.0000
B1 B 0.3333 0.6667 0.0000
Ir1 Ir 0.0123 0.5062 0.5000
Ir2 Ir 0.4938 0.5062 0.5000
Ir3 Ir 0.4938 0.9877 0.5000
# Crystal system: hexagonal
# Space group: P-6m2 (187)
# ρ, g cm⁻³: 13.57
# E_form (uncorrected), eV per formula unit: -4.3
# Total magnetization, μB per atom: 0.06
# Fermi-level density of states, states/eV/cell: 3.25

***

# KCeB12 (GGA-PBE, optimized geometry)
data_KCeB12
_cell_length_a 5.8968
_cell_length_b 5.8968
_cell_length_c 5.8968
_cell_angle_alpha 60.00
_cell_angle_beta 60.00
_cell_angle_gamma 60.00
_symmetry_space_group_name_H-M 'P 1'
_symmetry_Int_Tables_number 1
_symmetry_space_group_name_Hall 'P 1'
loop_
_atom_site_label
_atom_site_type_symbol
_atom_site_fract_x
_atom_site_fract_y
_atom_site_fract_z
K1 K 0.0000 0.0000 0.0000
Ce1 Ce 0.5000 0.5000 0.5000
B1 B 0.1008 0.1008 0.3992
B2 B 0.1008 0.3992 0.1008
B3 B 0.1008 0.3992 0.3992
B4 B 0.3992 0.1008 0.1008
B5 B 0.3992 0.1008 0.3992
B6 B 0.3992 0.3992 0.1008
B7 B 0.6008 0.6008 0.8992
B8 B 0.6008 0.8992 0.6008
B9 B 0.6008 0.8992 0.8992
B10 B 0.8992 0.6008 0.6008
B11 B 0.8992 0.6008 0.8992
B12 B 0.8992 0.8992 0.6008
# Crystal system: cubic
# Space group: Fm-3m (225)
# ρ, g cm⁻³: 3.54
# Total magnetization, μB per atom: 0.07
# Fermi-level density of states, states/eV/cell: 5.24

***

Number 1: final energy -7.70 eV per atom. Number 2: final energy -7.62 eV per atom. Number 3: final energy -8.19 eV per atom. Number 4: final energy -8.44 eV per atom. Number 5: final energy -8.53 eV per atom. Number 6: final energy -8.29 eV per atom. Number 7: final energy -8.15 eV per atom. Number 8: final energy -6.56 eV per atom.